# 1
AsWBr2 | GGA-PBE | relaxed

Unit cell a=3.3434 b=5.2555 c=10.7805 alpha=90.00 beta=90.00 gamma=90.00
Closest atoms and distances in Å follow each position.
Atoms (fractional coordinates):
As 0.0000 0.0000 0.0000  2 W 2.54
As 0.5000 0.5000 0.0000  2 W 2.54
W 0.0000 0.5000 0.8227  2 As 2.54, 2 Br 2.64
W 0.5000 0.0000 0.8227  2 As 2.54, 2 Br 2.64
Br 0.0000 0.0000 0.6336  2 W 2.64
Br 0.0000 0.5000 0.3140  6 Br 3.11-3.34
Br 0.5000 0.0000 0.3140  6 Br 3.11-3.34
Br 0.5000 0.5000 0.6336  2 W 2.64

Properties
DOS at the Fermi energy: 6.4 states/eV/cell
Energy relative to the lowest polymorph listed for this composition: 487 meV per atom
Volume: 23.68 Å³/atom

# 2
Pm5Tc2I2 | GGA-PBE | relaxed

Unit cell a=9.5934 b=9.5934 c=7.9319 alpha=90.00 beta=90.00 gamma=49.02
Closest atoms and distances in Å follow each position.
Atoms (fractional coordinates):
Pm 0.0000 0.0000 0.0000  4 Tc 3.20-3.21, 8 Pm 3.50
Pm 0.0659 0.7159 0.6744  3 Tc 3.00-3.05
Pm 0.2159 0.5659 0.1744  3 Tc 3.00-3.05
Pm 0.2841 0.9341 0.6744  3 Tc 3.00-3.05
Pm 0.4341 0.7841 0.1744  3 Tc 3.00-3.05
Pm 0.5000 0.5000 0.5000  4 Tc 3.20-3.21, 8 Pm 3.50
Pm 0.5659 0.2159 0.8256  3 Tc 3.00-3.05
Pm 0.7159 0.0659 0.3256  3 Tc 3.00-3.05
Pm 0.7841 0.4341 0.8256  3 Tc 3.00-3.05
Pm 0.9341 0.2841 0.3256  3 Tc 3.00-3.05
Tc 0.1142 0.8858 0.3884  1 Tc 2.54
Tc 0.3858 0.6142 0.8884  1 Tc 2.54
Tc 0.6142 0.3858 0.1116  1 Tc 2.54
Tc 0.8858 0.1142 0.6116  1 Tc 2.54
I 0.2212 0.2212 0.0000  7 Pm 3.53-3.86
I 0.2788 0.2788 0.5000  7 Pm 3.53-3.86
I 0.7212 0.7212 0.5000  7 Pm 3.53-3.86
I 0.7788 0.7788 0.0000  7 Pm 3.53-3.86

Properties
DOS at the Fermi energy: 13.0 states/eV/cell
Volume: 30.62 Å³/atom
VASP energy: -5.658 eV/atom

# 3
TlCr2CuC | GGA-PBE | relaxed

Unit cell a=5.3448 b=5.3448 c=4.0571 alpha=90.00 beta=90.00 gamma=90.00
Closest atoms and distances in Å follow each position.
Atoms (fractional coordinates):
Tl 0.0000 0.0000 0.0000  2 C 2.03
Cr 0.0000 0.5000 0.0000  2 Tl 2.67
Cr 0.5000 0.0000 0.0000  2 Tl 2.67
Cu 0.5000 0.5000 0.5000  8 Cr 3.36
C 0.0000 0.0000 0.5000  2 Tl 2.03

Properties
DOS at the Fermi energy: 2.4 states/eV/cell
Formation enthalpy at 0 K: 2.29 eV/atom
Volume: 23.18 Å³/atom

# 4
Ti7ZnCo5 | GGA-PBE | relaxed

Unit cell a=6.5427 b=6.5427 c=6.5427 alpha=134.56 beta=97.97 gamma=99.20
Closest atoms and distances in Å follow each position.
Atoms (fractional coordinates):
Ti 0.0000 0.0000 0.0000  9 Ti 2.83-3.10, 1 Zn 2.89, 4 Co 3.07
Ti 0.2344 0.5452 0.6892  5 Co 2.45-2.60, 1 Ti 2.72
Ti 0.3340 0.3340 0.0000  6 Co 2.58-2.60, 1 Zn 2.76, 1 Ti 2.83
Ti 0.3408 0.0031 0.3377  3 Co 2.42-2.46
Ti 0.6654 0.0031 0.6623  3 Co 2.42-2.46
Ti 0.7873 0.2873 0.5000  4 Co 2.43
Ti 0.8560 0.5452 0.3108  5 Co 2.45-2.60, 1 Ti 2.72
Zn 0.6595 0.6595 0.0000  4 Co 2.65, 6 Ti 2.75-2.89
Co 0.0236 0.0347 0.4962  5 Ti 2.42-2.60, 3 Co 2.49-2.56, 1 Zn 2.65
Co 0.0236 0.5274 0.9889  5 Ti 2.42-2.60, 3 Co 2.49-2.56, 1 Zn 2.65
Co 0.2644 0.7644 0.5000  6 Ti 2.46-2.60, 4 Co 2.56
Co 0.5385 0.0347 0.0111  5 Ti 2.42-2.60, 3 Co 2.49-2.56, 1 Zn 2.65
Co 0.5385 0.5274 0.5038  5 Ti 2.42-2.60, 3 Co 2.49-2.56, 1 Zn 2.65

Properties
DOS at the Fermi energy: 13.6 states/eV/cell
Formation enthalpy at 0 K: -0.23 eV/atom
Volume: 14.16 Å³/atom

# 5
Ga2IBr | GGA-PBE | relaxed

Unit cell a=7.8712 b=7.8712 c=7.8712 alpha=90.00 beta=90.00 gamma=90.00
Closest atoms and distances in Å follow each position.
Atoms (fractional coordinates):
Ga 0.2500 0.2500 0.2500  4 Br 3.41, 4 I 3.41
Ga 0.2500 0.2500 0.7500  4 Br 3.41, 4 I 3.41
Ga 0.2500 0.7500 0.2500  4 Br 3.41, 4 I 3.41
Ga 0.2500 0.7500 0.7500  4 Br 3.41, 4 I 3.41
Ga 0.7500 0.2500 0.2500  4 Br 3.41, 4 I 3.41
Ga 0.7500 0.2500 0.7500  4 Br 3.41, 4 I 3.41
Ga 0.7500 0.7500 0.2500  4 Br 3.41, 4 I 3.41
Ga 0.7500 0.7500 0.7500  4 Br 3.41, 4 I 3.41
I 0.0000 0.0000 0.0000  8 Ga 3.41
I 0.0000 0.5000 0.5000  8 Ga 3.41
I 0.5000 0.0000 0.5000  8 Ga 3.41
I 0.5000 0.5000 0.0000  8 Ga 3.41
Br 0.0000 0.0000 0.5000  8 Ga 3.41
Br 0.0000 0.5000 0.0000  8 Ga 3.41
Br 0.5000 0.0000 0.0000  8 Ga 3.41
Br 0.5000 0.5000 0.5000  8 Ga 3.41

Properties
DOS at the Fermi energy: 0.0 states/eV/cell
Energy relative to the lowest polymorph listed for this composition: 123 meV per atom
Volume: 30.48 Å³/atom

# 6
ThTlHgBi | GGA-PBE | relaxed

Unit cell a=7.7690 b=7.7690 c=7.7690 alpha=90.00 beta=90.00 gamma=90.00
Closest atoms and distances in Å follow each position.
Atoms (fractional coordinates):
Th 0.0000 0.0000 0.0000  4 Hg 3.36, 4 Bi 3.36
Th 0.0000 0.5000 0.5000  4 Hg 3.36, 4 Bi 3.36
Th 0.5000 0.0000 0.5000  4 Hg 3.36, 4 Bi 3.36
Th 0.5000 0.5000 0.0000  4 Hg 3.36, 4 Bi 3.36
Tl 0.0000 0.0000 0.5000  4 Bi 3.36, 4 Hg 3.36
Tl 0.0000 0.5000 0.0000  4 Bi 3.36, 4 Hg 3.36
Tl 0.5000 0.0000 0.0000  4 Bi 3.36, 4 Hg 3.36
Tl 0.5000 0.5000 0.5000  4 Hg 3.36, 4 Bi 3.36
Hg 0.2500 0.2500 0.2500  4 Tl 3.36, 4 Th 3.36
Hg 0.2500 0.7500 0.7500  4 Tl 3.36, 4 Th 3.36
Hg 0.7500 0.2500 0.7500  4 Tl 3.36, 4 Th 3.36
Hg 0.7500 0.7500 0.2500  4 Tl 3.36, 4 Th 3.36
Bi 0.2500 0.2500 0.7500  4 Tl 3.36, 4 Th 3.36
Bi 0.2500 0.7500 0.2500  4 Tl 3.36, 4 Th 3.36
Bi 0.7500 0.2500 0.2500  4 Tl 3.36, 4 Th 3.36
Bi 0.7500 0.7500 0.7500  4 Tl 3.36, 4 Th 3.36

Properties
DOS at the Fermi energy: 10.6 states/eV/cell
Formation enthalpy at 0 K: -0.13 eV/atom
Energy relative to the lowest polymorph listed for this composition: 160 meV per atom
Volume: 29.31 Å³/atom

Q: Which formula does entry 6 have?
A: ThTlHgBi

Q: Among the records above, which one has the lowest DOS at the Fermi energy?
A: Ga2IBr